[1]
BaSr2Os: relaxed, GGA-PBE.

Cell: 4.485 7.409 7.418 Å, 47.57 90.00 90.00°
Fractional coordinates of all 4 atoms:
Ba: 0.500 0.250 0.250
Os: 0.500 0.750 0.750
Sr: 0.000 0.894 0.894
Sr: 0.000 0.606 0.606

Properties
- electronic total energy (eV/atom) = -3.617
- spin magnetization (μB/cell) = 0.00
- E above lowest polymorph (eV per atom) = 0.000
- formation energy (eV per atom) = 0.5125
- crystal system = monoclinic


[2]
Ba2SrOs: relaxed, GGA-PBE.

Cell: 8.999 8.999 8.571 Å, 58.33 58.33 90.00°
Fractional coordinates of all 8 atoms:
Sr: 0.500 0.500 0.000
Sr: 0.250 0.750 0.500
Os: 0.000 0.000 0.000
Os: 0.750 0.250 0.500
Ba: 0.800 0.125 0.250
Ba: 0.950 0.625 0.250
Ba: 0.375 0.200 0.750
Ba: 0.875 0.050 0.750

Properties
- electronic total energy (eV/atom) = -3.293
- spin magnetization (μB/cell) = 0.00
- E above lowest polymorph (eV per atom) = 0.427
- formation energy (eV per atom) = 0.8961
- crystal system = tetragonal


[3]
BaSrOs: relaxed, GGA-PBE.

Cell: 8.112 8.104 3.701 Å, 76.94 76.68 26.38°
Fractional coordinates of all 3 atoms:
Ba: 0.952 0.952 0.048
Os: 0.330 0.330 0.670
Sr: 0.718 0.718 0.282

Properties
- electronic total energy (eV/atom) = -4.245
- spin magnetization (μB/cell) = 0.28
- E above lowest polymorph (eV per atom) = 0.000
- formation energy (eV per atom) = 0.7000
- crystal system = orthorhombic


[4]
BaSr2Os: relaxed, GGA-PBE.

Cell: 5.644 5.644 5.644 Å, 60.00 60.00 60.00°
Fractional coordinates of all 4 atoms:
Ba: 0.500 0.500 0.500
Os: 0.750 0.750 0.750
Sr: 0.000 0.000 0.000
Sr: 0.250 0.250 0.250

Properties
- electronic total energy (eV/atom) = -3.391
- spin magnetization (μB/cell) = 0.00
- E above lowest polymorph (eV per atom) = 0.225
- formation energy (eV per atom) = 0.7380
- crystal system = cubic


[5]
Ba2SrOs: relaxed, GGA-PBE.

Cell: 8.868 8.868 8.868 Å, 155.58 144.11 43.89°
Fractional coordinates of all 4 atoms:
Ba: 0.901 0.901 0.000
Ba: 0.599 0.599 0.000
Os: 0.750 0.250 0.500
Sr: 0.250 0.750 0.500

Properties
- electronic total energy (eV/atom) = -3.678
- spin magnetization (μB/cell) = 0.00
- E above lowest polymorph (eV per atom) = 0.043
- formation energy (eV per atom) = 0.5116
- crystal system = orthorhombic


[6]
Ba2SrOs: relaxed, GGA-PBE.

Cell: 5.701 5.701 5.701 Å, 60.00 60.00 60.00°
Fractional coordinates of all 4 atoms:
Sr: 0.000 0.000 0.000
Os: 0.500 0.500 0.500
Ba: 0.250 0.250 0.250
Ba: 0.750 0.750 0.750

Properties
- electronic total energy (eV/atom) = -3.421
- spin magnetization (μB/cell) = 0.00
- E above lowest polymorph (eV per atom) = 0.299
- formation energy (eV per atom) = 0.7678
- crystal system = cubic


[7]
BaSrOs: relaxed, GGA-PBE.

Cell: 5.191 5.191 5.191 Å, 60.00 60.00 60.00°
Fractional coordinates of all 3 atoms:
Ba: 0.500 0.500 0.500
Os: 0.750 0.750 0.750
Sr: 0.000 0.000 0.000

Properties
- electronic total energy (eV/atom) = -4.245
- spin magnetization (μB/cell) = 0.00
- E above lowest polymorph (eV per atom) = 0.000
- formation energy (eV per atom) = 0.7000
- crystal system = cubic


[8]
Ba2SrOs: relaxed, GGA-PBE.

Cell: 8.879 5.142 5.107 Å, 89.97 54.94 125.32°
Fractional coordinates of all 4 atoms:
Ba: 0.000 0.000 0.000
Ba: 0.500 0.000 0.500
Os: 0.000 0.500 0.500
Sr: 0.500 0.500 0.000

Properties
- electronic total energy (eV/atom) = -3.390
- spin magnetization (μB/cell) = 0.00
- E above lowest polymorph (eV per atom) = 0.331
- formation energy (eV per atom) = 0.7995
- crystal system = orthorhombic


[9]
Ba2SrOs: relaxed, GGA-PBE.

Cell: 5.861 5.861 5.861 Å, 124.96 124.96 81.61°
Fractional coordinates of all 4 atoms:
Ba: 0.000 0.000 0.000
Ba: 0.250 0.750 0.500
Os: 0.500 0.500 0.000
Sr: 0.750 0.250 0.500

Properties
- electronic total energy (eV/atom) = -3.431
- spin magnetization (μB/cell) = 0.00
- E above lowest polymorph (eV per atom) = 0.290
- formation energy (eV per atom) = 0.7586
- crystal system = tetragonal


[10]
BaSr2Os: relaxed, GGA-PBE.

Cell: 6.056 6.684 3.891 Å, 75.84 84.11 115.03°
Fractional coordinates of all 4 atoms:
Ba: 0.000 0.500 0.500
Os: 0.500 0.500 0.000
Sr: 0.000 0.000 0.000
Sr: 0.500 0.000 0.500

Properties
- electronic total energy (eV/atom) = -3.120
- spin magnetization (μB/cell) = 0.39
- E above lowest polymorph (eV per atom) = 0.497
- formation energy (eV per atom) = 1.0093
- crystal system = monoclinic


[11]
Ba2SrOs: relaxed, GGA-PBE.

Cell: 8.351 8.351 8.351 Å, 153.54 139.93 48.66°
Fractional coordinates of all 4 atoms:
Ba: 0.999 0.999 0.000
Ba: 0.659 0.159 0.500
Os: 0.500 0.500 0.000
Sr: 0.342 0.842 0.500

Properties
- electronic total energy (eV/atom) = -3.649
- spin magnetization (μB/cell) = 0.00
- E above lowest polymorph (eV per atom) = 0.071
- formation energy (eV per atom) = 0.5400
- crystal system = orthorhombic


[12]
BaSr2Os: relaxed, GGA-PBE.

Cell: 3.906 4.917 8.947 Å, 74.07 90.00 90.00°
Fractional coordinates of all 4 atoms:
Ba: 0.000 0.654 0.567
Os: 0.500 0.514 0.846
Sr: 0.000 0.987 0.902
Sr: 0.500 0.345 0.185

Properties
- electronic total energy (eV/atom) = -3.584
- spin magnetization (μB/cell) = 0.00
- E above lowest polymorph (eV per atom) = 0.033
- formation energy (eV per atom) = 0.5453
- crystal system = orthorhombic